Entry 1:
KGa3Fe: optimized geometry, GGA-PBE.

Calculated values
The electronic total energy comes out at -10.323 eV for the cell shown.

Cell: 5.2944 5.2944 5.2944 Å, 90.00 90.00 90.00°
Space group Pm-3m (No. 221)
Inequivalent atoms, fractional coordinates:
K  0.0000  0.0000  0.0000 (multiplicity 1)
Ga  0.0000  0.0000  0.5000 (multiplicity 3)
Fe  0.5000  0.5000  0.5000 (multiplicity 1)


Entry 2:
Hf2TlSn: optimized geometry, GGA-PBE.

Calculated values
The electronic total energy comes out at -26.512 eV for the cell shown.

Cell: 4.5087 4.5087 4.3653 Å, 90.00 90.00 90.00°
Space group P4/mmm (No. 123)
Inequivalent atoms, fractional coordinates:
Hf  0.0000  0.5000  0.0000 (multiplicity 2)
Tl  0.0000  0.0000  0.5000 (multiplicity 1)
Sn  0.5000  0.5000  0.5000 (multiplicity 1)


Entry 3:
BiPtN2: optimized geometry, GGA-PBE.

Calculated values
The raw formation energy comes out at 0.770 eV/atom.

Cell: 3.2843 3.2843 19.8335 Å, 90.00 90.00 120.00°
Space group R-3m (No. 166, hexagonal axes)
Inequivalent atoms, fractional coordinates:
Bi  0.0000  0.0000  0.0000 (multiplicity 3)
Pt  0.0000  0.0000  0.5000 (multiplicity 3)
N  0.0000  0.0000  0.1205 (multiplicity 6)


| no. | size of the total moment (Bohr magnetons per cell) |
| --- | --- |
| 1 | 3.2 |
| 2 | 0.0 |
| 3 | 0.0 |